[1]
# AlSiPN4, optimized geometry, DFT GGA-PBE
data_AlSiPN4
_cell_length_a 2.816
_cell_length_b 5.511
_cell_length_c 8.361
_cell_angle_alpha 90.00
_cell_angle_beta 90.00
_cell_angle_gamma 90.00
_symmetry_space_group_name_H-M 'P 1'
_symmetry_Int_Tables_number 1
loop_
_symmetry_equiv_pos_as_xyz
'x,y,z'
loop_
_atom_site_label
_atom_site_fract_x
_atom_site_fract_y
_atom_site_fract_z
P1 0.000 0.500 0.808
P2 0.000 0.000 0.308
N1 0.000 0.727 0.945
N2 0.500 0.000 0.196
N3 0.000 0.227 0.445
N4 0.000 0.273 0.945
N5 0.000 0.773 0.445
N6 0.500 0.500 0.211
N7 0.500 0.000 0.711
N8 0.500 0.500 0.696
Si1 0.000 0.500 0.102
Si2 0.000 0.000 0.602
Al1 0.500 0.500 0.439
Al2 0.500 0.000 0.939
# SG: Amm2
# Total magnetization (μB/cell): 0.00
# Energy above the most stable polymorph in this dataset (meV per atom): 43

[2]
# CaF, optimized geometry, DFT GGA-PBE
data_CaF
_cell_length_a 8.232
_cell_length_b 10.901
_cell_length_c 7.737
_cell_angle_alpha 90.00
_cell_angle_beta 90.00
_cell_angle_gamma 90.00
_symmetry_space_group_name_H-M 'P 1'
_symmetry_Int_Tables_number 1
loop_
_symmetry_equiv_pos_as_xyz
'x,y,z'
loop_
_atom_site_label
_atom_site_fract_x
_atom_site_fract_y
_atom_site_fract_z
Ca1 0.734 0.000 0.500
Ca2 0.766 0.000 0.000
Ca3 0.234 0.500 0.500
Ca4 0.484 0.750 0.250
Ca5 0.016 0.750 0.250
Ca6 0.016 0.250 0.750
Ca7 0.234 0.000 0.000
Ca8 0.266 0.000 0.500
Ca9 0.484 0.250 0.750
Ca10 0.516 0.750 0.750
Ca11 0.766 0.500 0.500
Ca12 0.984 0.250 0.250
Ca13 0.734 0.500 0.000
Ca14 0.266 0.500 0.000
Ca15 0.984 0.750 0.750
Ca16 0.516 0.250 0.250
F1 0.000 0.371 0.500
F2 0.500 0.871 0.500
F3 0.500 0.629 0.000
F4 0.250 0.121 0.750
F5 0.500 0.129 0.500
F6 0.750 0.121 0.250
F7 0.750 0.879 0.750
F8 0.000 0.871 0.000
F9 0.000 0.629 0.500
F10 0.250 0.879 0.250
F11 0.250 0.379 0.750
F12 0.750 0.379 0.250
F13 0.000 0.129 0.000
F14 0.500 0.371 0.000
F15 0.750 0.621 0.750
F16 0.250 0.621 0.250
# SG: Fddd
# Total magnetization (μB/cell): 0.00
# Energy above the most stable polymorph in this dataset (meV per atom): 40

[3]
# LaY2TmSe4, optimized geometry, DFT GGA-PBE
data_LaY2TmSe4
_cell_length_a 4.072
_cell_length_b 7.103
_cell_length_c 7.272
_cell_angle_alpha 71.23
_cell_angle_beta 90.00
_cell_angle_gamma 90.00
_symmetry_space_group_name_H-M 'P 1'
_symmetry_Int_Tables_number 1
loop_
_symmetry_equiv_pos_as_xyz
'x,y,z'
loop_
_atom_site_label
_atom_site_fract_x
_atom_site_fract_y
_atom_site_fract_z
Se1 0.000 0.759 0.735
Se2 0.000 0.241 0.265
Se3 0.500 0.250 0.739
Se4 0.500 0.750 0.261
Tm1 0.000 0.500 0.500
Y1 0.000 0.000 0.000
Y2 0.500 0.000 0.500
La1 0.500 0.500 0.000
# SG: P2/m
# Total magnetization (μB/cell): 0.00
# E_tot (eV/cell): -50.5

[4]
# KRb4Sn3I12, optimized geometry, DFT GGA-PBE
data_KRb4Sn3I12
_cell_length_a 10.875
_cell_length_b 10.875
_cell_length_c 10.875
_cell_angle_alpha 109.47
_cell_angle_beta 109.47
_cell_angle_gamma 109.47
_symmetry_space_group_name_H-M 'P 1'
_symmetry_Int_Tables_number 1
loop_
_symmetry_equiv_pos_as_xyz
'x,y,z'
loop_
_atom_site_label
_atom_site_fract_x
_atom_site_fract_y
_atom_site_fract_z
Rb1 0.000 0.000 0.500
Rb2 0.500 0.000 0.000
Rb3 0.000 0.500 0.000
Rb4 0.500 0.500 0.500
I1 0.750 0.500 0.250
I2 0.000 0.260 0.260
I3 0.500 0.750 0.250
I4 0.500 0.250 0.750
I5 0.000 0.740 0.740
I6 0.250 0.750 0.500
I7 0.250 0.500 0.750
I8 0.260 0.260 0.000
I9 0.750 0.250 0.500
I10 0.260 0.000 0.260
I11 0.740 0.000 0.740
I12 0.740 0.740 0.000
K1 0.000 0.000 0.000
Sn1 0.000 0.500 0.500
Sn2 0.500 0.500 0.000
Sn3 0.500 0.000 0.500
# SG: Im-3m
# Total magnetization (μB/cell): 0.00
# E_tot (eV/cell): -54.0